1.
Li2AgF2 | GGA-PBE | optimized geometry

Properties
DOS(E_F), states/eV/cell: 0.66
Offset from the most stable computed form, meV per atom: 0
E_form (uncorrected), eV/f.u.: -9.490
Symmetry: I4/mmm (139)

Cell lengths 3.722, 3.722, 6.589 Å; angles 73.59, 73.59, 90.00 degrees
Atoms (fractional coordinates):
Li1 0.273 0.273 0.453
Li2 0.727 0.727 0.547
Ag1 0.000 0.000 0.000
F1 0.750 0.250 0.500
F2 0.250 0.750 0.500

2.
LuSnGe2 | GGA-PBE | optimized geometry

Properties
DOS(E_F), states/eV/cell: 1.92
Offset from the most stable computed form, meV per atom: 282
DFT formation energy, meV/atom: -47
Symmetry: R-3m (166)

Cell lengths 3.276, 3.276, 10.255 Å; angles 80.81, 80.81, 60.00 degrees
Atoms (fractional coordinates):
Ge1 0.092 0.092 0.724
Ge2 0.908 0.908 0.276
Lu1 0.500 0.500 0.500
Sn1 0.000 0.000 0.000

3.
LiTa3B | GGA-PBE | optimized geometry

Properties
DOS(E_F), states/eV/cell: 3.23
Offset from the most stable computed form, meV per atom: 0
DFT formation energy, meV/atom: 246
Symmetry: Pm-3m (221)

Cell lengths 4.367, 4.367, 4.367 Å; angles 90.00, 90.00, 90.00 degrees
Atoms (fractional coordinates):
B1 0.000 0.000 0.000
Li1 0.500 0.500 0.500
Ta1 0.000 0.500 0.000
Ta2 0.000 0.000 0.500
Ta3 0.500 0.000 0.000

4.
HfBrCl3 | GGA-PBE | optimized geometry

Properties
DOS(E_F), states/eV/cell: 0.00
Offset from the most stable computed form, meV per atom: 0
E_form (uncorrected), eV/f.u.: -8.247
Symmetry: Pnma (62)

Cell lengths 6.615, 7.630, 13.348 Å; angles 90.00, 90.00, 90.00 degrees
Atoms (fractional coordinates):
Hf1 0.000 0.000 0.500
Hf2 0.500 0.500 0.000
Hf3 0.500 0.000 0.000
Hf4 0.000 0.500 0.500
Br1 0.784 0.250 0.405
Br2 0.716 0.750 0.905
Br3 0.216 0.750 0.595
Br4 0.284 0.250 0.095
Cl1 0.264 0.001 0.867
Cl2 0.236 0.501 0.367
Cl3 0.236 0.999 0.367
Cl4 0.736 0.501 0.133
Cl5 0.736 0.999 0.133
Cl6 0.764 0.499 0.633
Cl7 0.764 0.001 0.633
Cl8 0.264 0.499 0.867
Cl9 0.691 0.250 0.917
Cl10 0.809 0.750 0.417
Cl11 0.309 0.750 0.083
Cl12 0.191 0.250 0.583

5.
TiTlAgF6 | GGA-PBE | optimized geometry

Properties
DOS(E_F), states/eV/cell: 0.00
E_form (uncorrected), eV/f.u.: -23.139
Symmetry: P1 (1)

Cell lengths 6.074, 6.115, 5.354 Å; angles 90.84, 90.17, 59.41 degrees
Atoms (fractional coordinates):
Ti1 0.334 0.333 0.506
Tl1 0.005 0.998 0.990
Ag1 0.668 0.666 0.475
F1 0.073 0.339 0.301
F2 0.360 0.059 0.693
F3 0.576 0.352 0.712
F4 0.061 0.574 0.712
F5 0.329 0.597 0.315
F6 0.592 0.083 0.296

6.
MnSb | GGA-PBE | optimized geometry

Properties
DOS(E_F), states/eV/cell: 7.05
E_form (uncorrected), eV/f.u.: 0.149
Symmetry: Pmmn (59)

Cell lengths 3.826, 8.314, 7.450 Å; angles 90.00, 90.00, 90.00 degrees
Atoms (fractional coordinates):
Mn1 0.000 0.130 0.829
Mn2 0.500 0.870 0.671
Mn3 0.500 0.870 0.329
Mn4 0.000 0.130 0.171
Mn5 0.000 0.409 0.000
Mn6 0.500 0.591 0.500
Sb1 0.000 0.658 0.750
Sb2 0.500 0.342 0.750
Sb3 0.500 0.342 0.250
Sb4 0.000 0.658 0.250
Sb5 0.000 0.034 0.500
Sb6 0.500 0.966 0.000

7.
Ni2MoRh | GGA-PBE | optimized geometry

Properties
DOS(E_F), states/eV/cell: 8.56
Offset from the most stable computed form, meV per atom: 2
DFT formation energy, meV/atom: -127
Symmetry: Pmmn (59)

Cell lengths 4.593, 4.292, 5.216 Å; angles 90.00, 90.00, 90.00 degrees
Atoms (fractional coordinates):
Ni1 0.344 0.750 0.000
Ni2 0.344 0.750 0.500
Ni3 0.656 0.250 0.000
Ni4 0.656 0.250 0.500
Mo1 0.834 0.750 0.250
Mo2 0.166 0.250 0.750
Rh1 0.167 0.250 0.250
Rh2 0.833 0.750 0.750

8.
Pm2SmNi2Ge2 | GGA-PBE | optimized geometry

Properties
DOS(E_F), states/eV/cell: 4.78
DFT formation energy, meV/atom: -607
Symmetry: R-3m (166)

Cell lengths 4.254, 4.254, 10.279 Å; angles 78.06, 78.06, 60.00 degrees
Atoms (fractional coordinates):
Pm1 0.121 0.121 0.638
Pm2 0.879 0.879 0.362
Sm1 0.000 0.000 0.000
Ni1 0.605 0.605 0.184
Ni2 0.395 0.395 0.816
Ge1 0.732 0.732 0.803
Ge2 0.268 0.268 0.197

9.
KHoAgBr5 | GGA-PBE | optimized geometry

Properties
DOS(E_F), states/eV/cell: 0.00
E_form (uncorrected), eV/f.u.: -11.633
Symmetry: C2/c (15)

Cell lengths 7.934, 7.934, 10.625 Å; angles 102.32, 102.32, 109.46 degrees
Atoms (fractional coordinates):
K1 0.351 0.649 0.250
K2 0.649 0.351 0.750
Ho1 0.000 0.000 0.500
Ho2 0.000 0.000 0.000
Ag1 0.689 0.311 0.250
Ag2 0.311 0.689 0.750
Br1 0.076 0.924 0.250
Br2 0.924 0.076 0.750
Br3 0.919 0.310 0.097
Br4 0.081 0.690 0.903
Br5 0.690 0.081 0.403
Br6 0.310 0.919 0.597
Br7 0.747 0.631 0.443
Br8 0.253 0.369 0.557
Br9 0.369 0.253 0.057
Br10 0.631 0.747 0.943

10.
DyTm3Sb3 | GGA-PBE | optimized geometry

Properties
DOS(E_F), states/eV/cell: 26.02
Offset from the most stable computed form, meV per atom: 0
E_form (uncorrected), eV/f.u.: -6.554
Symmetry: P2_13 (198)

Cell lengths 9.105, 9.105, 9.105 Å; angles 90.00, 90.00, 90.00 degrees
Atoms (fractional coordinates):
Dy1 0.072 0.572 0.928
Dy2 0.928 0.072 0.572
Dy3 0.428 0.428 0.428
Dy4 0.572 0.928 0.072
Tm1 0.822 0.322 0.178
Tm2 0.925 0.925 0.925
Tm3 0.823 0.677 0.323
Tm4 0.178 0.822 0.322
Tm5 0.177 0.177 0.177
Tm6 0.323 0.823 0.677
Tm7 0.075 0.425 0.575
Tm8 0.322 0.178 0.822
Tm9 0.677 0.323 0.823
Tm10 0.678 0.678 0.678
Tm11 0.575 0.075 0.425
Tm12 0.425 0.575 0.075
Sb1 0.747 0.624 0.001
Sb2 0.876 0.999 0.247
Sb3 0.001 0.747 0.624
Sb4 0.124 0.499 0.253
Sb5 0.253 0.124 0.499
Sb6 0.247 0.876 0.999
Sb7 0.999 0.247 0.876
Sb8 0.376 0.501 0.753
Sb9 0.499 0.253 0.124
Sb10 0.624 0.001 0.747
Sb11 0.753 0.376 0.501
Sb12 0.501 0.753 0.376

11.
TbEr3Hg6 | GGA-PBE | optimized geometry

Properties
DOS(E_F), states/eV/cell: 12.47
DFT formation energy, meV/atom: -423
Symmetry: P2_1/m (11)

Cell lengths 5.136, 9.113, 11.059 Å; angles 106.74, 90.00, 90.00 degrees
Atoms (fractional coordinates):
Tb1 0.250 0.937 0.611
Tb2 0.750 0.063 0.389
Er1 0.250 0.517 0.388
Er2 0.750 0.483 0.612
Er3 0.250 0.353 0.801
Er4 0.750 0.647 0.199
Er5 0.250 0.769 0.994
Er6 0.750 0.231 0.006
Hg1 0.250 0.464 0.092
Hg2 0.750 0.536 0.908
Hg3 0.250 0.139 0.203
Hg4 0.750 0.861 0.797
Hg5 0.250 0.647 0.703
Hg6 0.750 0.353 0.297
Hg7 0.250 0.247 0.514
Hg8 0.750 0.753 0.486
Hg9 0.250 0.834 0.311
Hg10 0.750 0.166 0.689
Hg11 0.250 0.064 0.901
Hg12 0.750 0.936 0.099

12.
NaAsPb | GGA-PBE | optimized geometry

Properties
DOS(E_F), states/eV/cell: 1.98
DFT formation energy, meV/atom: -229
Symmetry: Pnma (62)

Cell lengths 4.830, 9.493, 7.303 Å; angles 90.00, 90.00, 90.00 degrees
Atoms (fractional coordinates):
Na1 0.250 0.825 0.479
Na2 0.750 0.325 0.021
Na3 0.250 0.675 0.979
Na4 0.750 0.175 0.521
As1 0.750 0.609 0.262
As2 0.750 0.891 0.762
As3 0.250 0.109 0.238
As4 0.250 0.391 0.738
Pb1 0.750 0.925 0.165
Pb2 0.750 0.575 0.665
Pb3 0.250 0.075 0.835
Pb4 0.250 0.425 0.335

Repeat the tenth record exactly.
DyTm3Sb3 | GGA-PBE | optimized geometry

Properties
DOS(E_F), states/eV/cell: 26.02
Offset from the most stable computed form, meV per atom: 0
E_form (uncorrected), eV/f.u.: -6.554
Symmetry: P2_13 (198)

Cell lengths 9.105, 9.105, 9.105 Å; angles 90.00, 90.00, 90.00 degrees
Atoms (fractional coordinates):
Dy1 0.072 0.572 0.928
Dy2 0.928 0.072 0.572
Dy3 0.428 0.428 0.428
Dy4 0.572 0.928 0.072
Tm1 0.822 0.322 0.178
Tm2 0.925 0.925 0.925
Tm3 0.823 0.677 0.323
Tm4 0.178 0.822 0.322
Tm5 0.177 0.177 0.177
Tm6 0.323 0.823 0.677
Tm7 0.075 0.425 0.575
Tm8 0.322 0.178 0.822
Tm9 0.677 0.323 0.823
Tm10 0.678 0.678 0.678
Tm11 0.575 0.075 0.425
Tm12 0.425 0.575 0.075
Sb1 0.747 0.624 0.001
Sb2 0.876 0.999 0.247
Sb3 0.001 0.747 0.624
Sb4 0.124 0.499 0.253
Sb5 0.253 0.124 0.499
Sb6 0.247 0.876 0.999
Sb7 0.999 0.247 0.876
Sb8 0.376 0.501 0.753
Sb9 0.499 0.253 0.124
Sb10 0.624 0.001 0.747
Sb11 0.753 0.376 0.501
Sb12 0.501 0.753 0.376